# CaCrAs, optimized geometry, DFT GGA-PBEsol
# uncorrected energy = -6.006 eV per atom
# space-group type = No. 216
data_CaCrAs
_chemical_formula_sum 'Ca1 Cr1 As1'
_cell_length_a 4.5966
_cell_length_b 4.5966
_cell_length_c 4.5966
_cell_angle_alpha 60.00
_cell_angle_beta 60.00
_cell_angle_gamma 60.00
_symmetry_space_group_name_H-M 'P 1'
_symmetry_Int_Tables_number 1
_symmetry_space_group_name_Hall 'P 1'
loop_
_atom_site_label
_atom_site_type_symbol
_atom_site_fract_x
_atom_site_fract_y
_atom_site_fract_z
Ca1 Ca 0.0000 0.0000 0.0000
Cr1 Cr 0.5000 0.5000 0.5000
As1 As 0.2500 0.2500 0.2500

=====

# CaCrAs2, optimized geometry, DFT GGA-PBEsol
# uncorrected energy = -5.866 eV per atom
# space-group type = No. 8
# offset from the most stable computed form = 0.0 meV per atom
data_CaCrAs2
_chemical_formula_sum 'Ca1 Cr1 As2'
_cell_length_a 3.9245
_cell_length_b 4.0341
_cell_length_c 5.5240
_cell_angle_alpha 101.94
_cell_angle_beta 110.81
_cell_angle_gamma 90.00
_symmetry_space_group_name_H-M 'P 1'
_symmetry_Int_Tables_number 1
_symmetry_space_group_name_Hall 'P 1'
loop_
_atom_site_label
_atom_site_type_symbol
_atom_site_fract_x
_atom_site_fract_y
_atom_site_fract_z
Cr1 Cr 0.2385 0.8518 0.4770
As1 As 0.7744 0.3896 0.5489
As2 As 0.9848 0.8703 0.9696
Ca1 Ca 0.5023 0.3883 0.0045

=====

# CaCr2As, optimized geometry, DFT GGA-PBEsol
# uncorrected energy = -6.683 eV per atom
# space-group type = No. 216
data_CaCr2As
_chemical_formula_sum 'Ca1 Cr2 As1'
_cell_length_a 4.6119
_cell_length_b 4.6119
_cell_length_c 4.6119
_cell_angle_alpha 60.00
_cell_angle_beta 60.00
_cell_angle_gamma 60.00
_symmetry_space_group_name_H-M 'P 1'
_symmetry_Int_Tables_number 1
_symmetry_space_group_name_Hall 'P 1'
loop_
_atom_site_label
_atom_site_type_symbol
_atom_site_fract_x
_atom_site_fract_y
_atom_site_fract_z
Ca1 Ca 0.2500 0.2500 0.2500
As1 As 0.5000 0.5000 0.5000
Cr1 Cr 0.7500 0.7500 0.7500
Cr2 Cr 0.0000 0.0000 0.0000

=====

# CaCrAs2, optimized geometry, DFT GGA-PBEsol
# uncorrected energy = -5.864 eV per atom
# space-group type = No. 225
# offset from the most stable computed form = 2.4 meV per atom
data_CaCrAs2
_chemical_formula_sum 'Ca1 Cr1 As2'
_cell_length_a 4.7269
_cell_length_b 4.7269
_cell_length_c 4.7269
_cell_angle_alpha 60.00
_cell_angle_beta 60.00
_cell_angle_gamma 60.00
_symmetry_space_group_name_H-M 'P 1'
_symmetry_Int_Tables_number 1
_symmetry_space_group_name_Hall 'P 1'
loop_
_atom_site_label
_atom_site_type_symbol
_atom_site_fract_x
_atom_site_fract_y
_atom_site_fract_z
As1 As 0.2500 0.2500 0.2500
As2 As 0.7500 0.7500 0.7500
Cr1 Cr 0.5000 0.5000 0.5000
Ca1 Ca 0.0000 0.0000 0.0000

=====

# Ca3Cr3As4O16, optimized geometry, DFT GGA-PBEsol
# uncorrected energy = -7.211 eV per atom
# space-group type = No. 14
# formation energy from raw total energies = -1.767 eV per atom
data_Ca3Cr3As4O16
_chemical_formula_sum 'Ca6 Cr6 As8 O32'
_cell_length_a 5.0843
_cell_length_b 9.1273
_cell_length_c 15.2877
_cell_angle_alpha 96.28
_cell_angle_beta 90.00
_cell_angle_gamma 90.00
_symmetry_space_group_name_H-M 'P 1'
_symmetry_Int_Tables_number 1
_symmetry_space_group_name_Hall 'P 1'
loop_
_atom_site_label
_atom_site_type_symbol
_atom_site_fract_x
_atom_site_fract_y
_atom_site_fract_z
Ca1 Ca 0.4703 0.5351 0.2315
Ca2 Ca 0.9703 0.9649 0.2685
Cr1 Cr 0.0000 0.0000 0.5000
O1 O 0.8508 0.8955 0.8567
Cr2 Cr 0.5000 0.5000 0.0000
As1 As 0.9851 0.3871 0.3418
O2 O 0.0913 0.2082 0.3481
O3 O 0.4553 0.9331 0.7362
O4 O 0.8031 0.5022 0.9192
As2 As 0.0149 0.6129 0.6582
O5 O 0.6492 0.3955 0.3567
O6 O 0.9553 0.5669 0.7638
Ca3 Ca 0.0297 0.0351 0.7315
O7 O 0.5732 0.7476 0.4936
O8 O 0.6969 0.0022 0.4192
Ca4 Ca 0.5000 0.5000 0.5000
O9 O 0.5447 0.0669 0.2638
Cr3 Cr 0.9687 0.3311 0.1191
As3 As 0.5149 0.8871 0.8418
As4 As 0.4885 0.1627 0.5971
O10 O 0.1969 0.4978 0.0808
O11 O 0.6526 0.9857 0.0925
Ca5 Ca 0.5297 0.4649 0.7685
O12 O 0.9087 0.7918 0.6519
Ca6 Ca 0.0000 0.0000 0.0000
Cr4 Cr 0.5313 0.8311 0.6191
O13 O 0.3031 0.9978 0.5808
O14 O 0.1253 0.7538 0.1906
O15 O 0.4087 0.7082 0.8481
As5 As 0.9885 0.3373 0.9029
O16 O 0.3105 0.3949 0.8971
O17 O 0.9268 0.2476 0.9936
O18 O 0.6253 0.7462 0.3094
O19 O 0.3474 0.0143 0.9075
O20 O 0.1492 0.1045 0.1433
O21 O 0.0732 0.7524 0.0064
O22 O 0.8474 0.4857 0.5925
O23 O 0.0447 0.4331 0.2362
As6 As 0.0115 0.6627 0.0971
O24 O 0.6895 0.6051 0.1029
O25 O 0.1526 0.5143 0.4075
O26 O 0.8105 0.1051 0.6029
O27 O 0.4268 0.2524 0.5064
O28 O 0.1895 0.8949 0.3971
O29 O 0.3508 0.6045 0.6433
Cr5 Cr 0.4687 0.1689 0.3809
O30 O 0.8747 0.2462 0.8094
O31 O 0.5913 0.2918 0.1519
As7 As 0.4851 0.1129 0.1582
O32 O 0.3747 0.2538 0.6906
Cr6 Cr 0.0313 0.6689 0.8809
As8 As 0.5115 0.8373 0.4029

=====

# Ca2CrAsPt, optimized geometry, DFT GGA-PBEsol
# uncorrected energy = -5.213 eV per atom
# space-group type = No. 123
data_Ca2CrAsPt
_chemical_formula_sum 'Ca2 Cr1 As1 Pt1'
_cell_length_a 4.5899
_cell_length_b 5.5264
_cell_length_c 5.5264
_cell_angle_alpha 90.00
_cell_angle_beta 90.00
_cell_angle_gamma 90.00
_symmetry_space_group_name_H-M 'P 1'
_symmetry_Int_Tables_number 1
_symmetry_space_group_name_Hall 'P 1'
loop_
_atom_site_label
_atom_site_type_symbol
_atom_site_fract_x
_atom_site_fract_y
_atom_site_fract_z
Cr1 Cr 0.5000 0.5000 0.5000
Pt1 Pt 0.0000 0.0000 0.0000
Ca1 Ca 0.0000 0.0000 0.5000
Ca2 Ca 0.0000 0.5000 0.0000
As1 As 0.5000 0.0000 0.0000